[1]
## PrAl2Ge2 (PBE)

Data for crystalline PrAl2Ge2 at its relaxed geometry.

The space group is R-3m (No. 166, hexagonal axes) and the conventional cell measures 4.1502, 4.1502 and 23.3595 Å, with angles of 90.00, 90.00 and 120.00 degrees. The inequivalent atoms are Pr at (0.0000, 0.0000, 0.0000), Al at (0.0000, 0.0000, 0.2158) and Ge at (0.0000, 0.0000, 0.4161).

The size of the total moment is 0.00 μB per cell. The formation energy comes out at -1.04 eV/f.u.

[2]
## PrAl2Ge2 (PBE)

Data for crystalline PrAl2Ge2 at its relaxed geometry.

The space group is Pnma (No. 62) and the conventional cell measures 9.550, 4.124 and 11.076 Å, with angles of 90.00, 90.00 and 90.00 degrees. The inequivalent atoms are Pr at (0.222, 0.250, 0.199), Al at (0.065, 0.750, 0.399), Al at (0.074, 0.750, 0.959), Ge at (0.046, 0.250, 0.811) and Ge at (0.172, 0.250, 0.490).

The size of the total moment is 0.00 μB per cell. The formation energy comes out at -1.81 eV/f.u.

no.,DFT total energy (eV per atom)
1,-4.507
2,-4.661